Here is crystalline CrGeSO at its relaxed geometry from the Alexandria database. Energies are from GGA+U.

Cell: 3.660 3.785 5.591 Å, 90.00 109.14 90.00°
Last column: magnetic moment on the atom in μB.
Fractional positions:
Cr1 0.132 0.000 0.941  3.25
Ge1 0.947 0.500 0.570  -0.04
S1 0.306 0.500 0.290  -0.03
O1 0.625 0.000 0.926  -0.21

Summary:
energy above the lowest structure with this stoichiometry	0.251	eV per atom
mass density	3.9	g/cm3
total moment	3.06	μB/f.u.
symmetry	Amm2 (38)
total DFT energy (no corrections)	-23.56	eV/f.u.